Here is MgInCo2O4 after structural relaxation from the Alexandria database. Energies are from GGA+U.

Geometry as CIF:
```
data_MgInCo2O4
_symmetry_space_group_name_H-M 'P 1'
_symmetry_Int_Tables_number 1
_cell_length_a 5.427
_cell_length_b 5.427
_cell_length_c 5.427
_cell_angle_alpha 132.08
_cell_angle_beta 132.08
_cell_angle_gamma 70.11
loop_
_symmetry_equiv_pos_as_xyz
'x,y,z'
loop_
_atom_site_label
_atom_site_fract_x
_atom_site_fract_y
_atom_site_fract_z
_atom_site_occupancy
Mg1 0.000 0.000 0.000 1
In1 0.500 0.500 0.000 1
Co1 0.250 0.750 0.500 1
Co2 0.750 0.250 0.500 1
O1 0.000 0.500 0.500 1
O2 0.244 0.244 0.000 1
O3 0.500 0.000 0.500 1
O4 0.756 0.756 0.000 1
```

Output
- SG = I4/mmm (139)
- DFT total energy (eV/f.u.) = -45.16
- N(E_F) (states/eV/atom) = 0.2001
- volume (Å³/f.u.) = 86